Crystalline Mg2Tl3 at its relaxed geometry, computed with PBE-GGA.

Summary:
Total energy: -2.082 eV/atom
Relative energy among the computed polymorphs: 0.000 eV/atom
Formation enthalpy at 0 K: -24 meV/atom

Cell lengths 12.416, 12.416, 12.416 Å; angles 16.35, 16.35, 16.35 degrees
Sites, in units of the cell vectors:
Mg1 0.398 0.398 0.398
Tl1 0.000 0.000 0.000
Tl2 0.203 0.203 0.203
Tl3 0.797 0.797 0.797
Mg2 0.602 0.602 0.602